The following is a PBE calculation of crystalline SrSnAs at its relaxed geometry, from Alexandria via LeMat-Bulk.

The value obtained for the final energy is -0.295 Ry per atom. The formation energy comes out at -0.57 eV per atom.

CIF file:
```
data_SrSnAs
_cell_length_a 6.112
_cell_length_b 8.788
_cell_length_c 6.357
_cell_angle_alpha 90.00
_cell_angle_beta 90.00
_cell_angle_gamma 90.00
_symmetry_space_group_name_H-M 'C m c m'
_symmetry_Int_Tables_number 63
_symmetry_space_group_name_Hall '-C 2c 2'
loop_
_atom_site_label
_atom_site_fract_x
_atom_site_fract_y
_atom_site_fract_z
Sr1 0.000 0.155 0.250
Sn1 0.000 0.500 0.000
As1 0.000 0.204 0.750
```



The following is a PBE calculation of crystalline SrSnAs2 at its relaxed geometry, from Alexandria via LeMat-Bulk.

The value obtained for the final energy is -0.309 Ry per atom. The formation energy comes out at -0.46 eV per atom.

CIF file:
```
data_SrSnAs2
_cell_length_a 4.1709
_cell_length_b 4.1709
_cell_length_c 21.6872
_cell_angle_alpha 90.00
_cell_angle_beta 90.00
_cell_angle_gamma 120.00
_symmetry_space_group_name_H-M 'R -3 m'
_symmetry_Int_Tables_number 166
_symmetry_space_group_name_Hall '-R 3 2"'
loop_
_atom_site_label
_atom_site_fract_x
_atom_site_fract_y
_atom_site_fract_z
Sr1 0.0000 0.0000 0.0000
Sn1 0.0000 0.0000 0.5000
As1 0.0000 0.0000 0.2378
```



The following is a PBE calculation of crystalline SrSnAs2 at its relaxed geometry, from Alexandria via LeMat-Bulk.

The value obtained for the final energy is -0.314 Ry per atom. The formation energy comes out at -0.53 eV per atom.

CIF file:
```
data_SrSnAs2
_cell_length_a 7.468
_cell_length_b 7.468
_cell_length_c 8.926
_cell_angle_alpha 90.00
_cell_angle_beta 90.00
_cell_angle_gamma 90.00
_symmetry_space_group_name_H-M 'I -4 2 d'
_symmetry_Int_Tables_number 122
_symmetry_space_group_name_Hall 'I -4 2bw'
loop_
_atom_site_label
_atom_site_fract_x
_atom_site_fract_y
_atom_site_fract_z
Sr1 0.000 0.000 0.000
Sn1 0.000 0.000 0.500
As1 0.196 0.250 0.625
```



The following is a PBE calculation of crystalline SrSnAs2 at its relaxed geometry, from Alexandria via LeMat-Bulk.

The value obtained for the final energy is -0.315 Ry per atom. The formation energy comes out at -0.54 eV per atom.

CIF file:
```
data_SrSnAs2
_cell_length_a 6.521
_cell_length_b 6.477
_cell_length_c 12.701
_cell_angle_alpha 90.00
_cell_angle_beta 118.65
_cell_angle_gamma 90.00
_symmetry_space_group_name_H-M 'P 1 2/c 1'
_symmetry_Int_Tables_number 13
loop_
_symmetry_equiv_pos_as_xyz
'x,y,z'
'-x,-y,-z'
'-x,y,-z+1/2'
'x,-y,z+1/2'
loop_
_atom_site_label
_atom_site_fract_x
_atom_site_fract_y
_atom_site_fract_z
Sr1 0.101 0.228 0.124
Sn1 0.483 0.361 0.878
As1 0.144 0.278 0.656
As2 0.439 0.228 0.407
```



Q: Number 1 is which compound?
A: SrSnAs



Q: Which value of final energy does entry 3 give?
A: -0.314 Ry per atom